Entry 1:
YAs2W after structural relaxation. Source: Alexandria, functional PBE.

Lattice parameters (Å, degrees): 3.9642 3.9642 6.7889 108.53 108.53 56.53
Last column: nearest neighbours and their distance in Å.
Fractional positions:
1 Y 0.0000 0.0000 0.0000  6 As 2.83-2.98
2 As 0.2144 0.2144 0.6920  3 W 2.68-2.71, 3 Y 2.98
3 As 0.4222 0.4222 0.2741  3 W 2.52-2.55
4 W 0.8072 0.8072 0.4597  6 As 2.52-2.71

excess energy over the best structure of this formula in the dataset	0.046	eV per atom
space-group type	Cm
formation enthalpy at 0 K	-38	kJ/mol of atoms
E_tot	-30.3	eV for the cell shown

=====

Entry 2:
Ac2PmErTe5 after structural relaxation. Source: Alexandria, functional PBE.

Lattice parameters (Å, degrees): 5.4724 5.4724 11.7778 90.00 90.00 90.00
Last column: nearest neighbours and their distance in Å.
Fractional positions:
1 Ac 0.0000 0.0000 0.2014  9 Te 3.52-3.91
2 Ac 0.0000 0.0000 0.7986  9 Te 3.52-3.91
3 Pm 0.5000 0.5000 0.5000  2 Te 2.93
4 Er 0.5000 0.5000 0.0000  6 Te 2.74-2.96
5 Te 0.0000 0.0000 0.5000  2 Ac 3.52, 4 Pm 3.87
6 Te 0.0000 0.5000 0.0000  2 Er 2.74
7 Te 0.5000 0.0000 0.0000  2 Er 2.74
8 Te 0.5000 0.5000 0.2513  1 Pm 2.93, 1 Er 2.96
9 Te 0.5000 0.5000 0.7487  1 Pm 2.93, 1 Er 2.96

energy relative to the elements, uncorrected	-1032	meV per atom
space-group type	P4/mmm
E_tot	-42.5	eV for the cell shown

=====

Entry 3:
Ca2SiPt4 after structural relaxation. Source: Alexandria, functional PBE.

Lattice parameters (Å, degrees): 8.1666 8.1666 8.1666 147.53 147.53 46.58
Last column: nearest neighbours and their distance in Å.
Fractional positions:
1 Ca 0.1485 0.1485 0.0000  9 Pt 2.97-3.23
2 Ca 0.8515 0.8515 0.0000  9 Pt 2.97-3.23
3 Si 0.5000 0.5000 0.0000  6 Pt 2.28-2.30
4 Pt 0.0000 0.5000 0.5000  2 Si 2.28
5 Pt 0.3467 0.3467 0.0000  1 Si 2.30
6 Pt 0.5000 0.0000 0.5000  2 Si 2.28
7 Pt 0.6533 0.6533 0.0000  1 Si 2.30

energy relative to the elements, uncorrected	-491	meV per atom
space-group type	I4/mmm
E_tot	-37.0	eV for the cell shown